This record from Alexandria via LeMat-Bulk describes BaZr3 after structural relaxation. The functional is PBE.

Lattice parameters (Å, degrees): 4.7570 4.7570 4.7570 90.00 90.00 90.00
Element x y z (fractional)
Ba: 0.0000 0.0000 0.0000
Zr: 0.5000 0.0000 0.5000
Zr: 0.0000 0.5000 0.5000
Zr: 0.5000 0.5000 0.0000

Results
For the theoretical density, the calculation gives 6.34 g/cm3. For the formation energy, the calculation gives 57.97 kJ per mole of atoms. The calculation puts the size of the total moment at 0.00 Bohr magnetons per cell.